--- w ---
A relaxed Ti2Ni4Rh crystal, computed with PBE.

Unit cell a=3.2773 b=3.2773 c=8.8925 alpha=100.62 beta=100.62 gamma=90.00
Last column: nearest neighbours and their distance in Å.
Positions (direct):
Ti1 0.5942 0.5942 0.1883  4 Ni 2.50
Ti2 0.4058 0.4058 0.8117  4 Ni 2.50
Ni1 0.1481 0.1481 0.2961  4 Ni 2.40, 4 Ti 2.50, 1 Rh 2.54
Ni2 0.8519 0.8519 0.7039  4 Ni 2.40, 4 Ti 2.50, 1 Rh 2.54
Ni3 0.7500 0.2500 0.5000  8 Ni 2.32-2.40
Ni4 0.2500 0.7500 0.5000  8 Ni 2.32-2.40
Rh1 0.0000 0.0000 0.0000  2 Ni 2.54, 8 Ti 2.83


--- x ---
A relaxed Ti2Ni4Rh crystal, computed with PBE.

Unit cell a=6.2818 b=6.2818 c=5.2903 alpha=136.29 beta=127.28 gamma=83.17
Last column: nearest neighbours and their distance in Å.
Positions (direct):
Ti1 0.8323 0.3366 0.4981  5 Ni 2.35-2.53
Ti2 0.1615 0.6659 0.4981  5 Ni 2.35-2.53
Ni1 0.5805 0.2672 0.8477  4 Ni 2.25-2.50, 2 Ti 2.44
Ni2 0.3853 0.6824 0.0677  4 Ni 2.25-2.50, 2 Ti 2.35
Ni3 0.3194 0.3189 0.0715  4 Ni 2.38-2.51, 3 Ti 2.43-2.53
Ni4 0.7526 0.7521 0.0715  4 Ni 2.38-2.51, 3 Ti 2.43-2.53
Rh1 0.9684 0.9768 0.9453  9 Ni 2.64-2.94, 4 Ti 2.67-2.72


Which is most stable? The ranking, best first, is w, x.


--- w ---
A relaxed Ti4NiRh crystal, computed with PBE.

Unit cell a=3.0498 b=3.0498 c=9.7454 alpha=90.00 beta=90.00 gamma=90.00
Last column: nearest neighbours and their distance in Å.
Positions (direct):
Ti1 0.5000 0.5000 0.8454  4 Ni 2.63, 4 Ti 2.78
Ti2 0.5000 0.5000 0.1546  4 Ni 2.63, 4 Ti 2.78
Ti3 0.0000 0.0000 0.6652  4 Rh 2.69, 4 Ti 2.78
Ti4 0.0000 0.0000 0.3348  4 Rh 2.69, 4 Ti 2.78
Ni1 0.0000 0.0000 0.0000  8 Ti 2.63
Rh1 0.5000 0.5000 0.5000  8 Ti 2.69


--- x ---
A relaxed Ti4NiRh crystal, computed with PBE.

Unit cell a=2.9554 b=4.9497 c=12.6819 alpha=88.10 beta=90.00 gamma=90.00
Last column: nearest neighbours and their distance in Å.
Positions (direct):
Ti1 0.4994 0.1687 0.3382  2 Rh 2.64, 1 Ni 2.67, 9 Ti 2.78-2.96
Ti2 0.9994 0.3313 0.1618  2 Rh 2.64, 1 Ni 2.67, 9 Ti 2.78-2.96
Ti3 0.5006 0.8313 0.6618  2 Rh 2.64, 1 Ni 2.67, 9 Ti 2.78-2.96
Ti4 0.0006 0.6687 0.8382  2 Rh 2.64, 1 Ni 2.67, 9 Ti 2.78-2.96
Ti5 0.9994 0.6619 0.3399  2 Ni 2.61-2.62, 1 Rh 2.67, 7 Ti 2.83-2.91
Ti6 0.4994 0.8381 0.1601  2 Ni 2.61-2.62, 1 Rh 2.67, 7 Ti 2.83-2.91
Ti7 0.0006 0.3381 0.6601  2 Ni 2.61-2.62, 1 Rh 2.67, 7 Ti 2.83-2.91
Ti8 0.5006 0.1619 0.8399  2 Ni 2.61-2.62, 1 Rh 2.67, 7 Ti 2.83-2.91
Ni1 0.5000 0.5000 0.5000  6 Ti 2.61-2.67, 4 Rh 2.88
Ni2 0.0000 0.0000 0.0000  6 Ti 2.61-2.67, 4 Rh 2.88
Rh1 0.0000 0.0000 0.5000  6 Ti 2.64-2.67, 4 Ni 2.88, 2 Rh 2.96
Rh2 0.5000 0.5000 0.0000  6 Ti 2.64-2.67, 4 Ni 2.88, 2 Rh 2.96


Which is most stable? The ranking, best first, is w, x.


--- w ---
A relaxed Ti3NiRh2 crystal, computed with PBE.

Unit cell a=3.0204 b=3.0204 c=9.5913 alpha=90.00 beta=90.00 gamma=90.00
Last column: nearest neighbours and their distance in Å.
Positions (direct):
Ti1 0.0000 0.0000 0.0000  8 Rh 2.69
Ti2 0.0000 0.0000 0.6562  4 Ni 2.61, 4 Rh 2.70
Ti3 0.0000 0.0000 0.3438  4 Ni 2.61, 4 Rh 2.70
Ni1 0.5000 0.5000 0.5000  8 Ti 2.61
Rh1 0.5000 0.5000 0.8290  8 Ti 2.69-2.70
Rh2 0.5000 0.5000 0.1710  8 Ti 2.69-2.70


--- x ---
A relaxed Ti3NiRh2 crystal, computed with PBE.

Unit cell a=4.3319 b=4.3319 c=10.8375 alpha=90.00 beta=90.00 gamma=120.00
Last column: nearest neighbours and their distance in Å.
Positions (direct):
Ti1 0.3333 0.6667 0.4063  4 Ni 2.50-2.55, 4 Rh 2.70-2.72
Ti2 0.6667 0.3333 0.0945  7 Rh 2.59-2.71
Ti3 0.0000 0.0000 0.7470  5 Rh 2.68-2.74, 3 Ni 2.77
Ti4 0.0000 0.0000 0.2530  5 Rh 2.68-2.74, 3 Ni 2.77
Ti5 0.3333 0.6667 0.9055  7 Rh 2.59-2.71
Ti6 0.6667 0.3333 0.5937  4 Ni 2.50-2.55, 4 Rh 2.70-2.72
Ni1 0.3333 0.6667 0.6373  7 Ti 2.50-2.77
Ni2 0.6667 0.3333 0.3627  7 Ti 2.50-2.77
Rh1 0.0000 0.0000 0.5000  8 Ti 2.68-2.70, 6 Ni 2.91
Rh2 0.3333 0.6667 0.1552  8 Ti 2.59-2.72
Rh3 0.6667 0.3333 0.8448  8 Ti 2.59-2.72
Rh4 0.0000 0.0000 0.0000  8 Ti 2.70-2.74, 6 Rh 3.01


Which is most stable? The ranking, best first, is x, w.


--- w ---
A relaxed TiZnNiRh crystal, computed with PBE.

Unit cell a=3.9789 b=3.9790 c=4.4312 alpha=116.68 beta=116.68 gamma=90.00
Last column: nearest neighbours and their distance in Å.
Positions (direct):
Ti1 0.7500 0.2500 0.5000  4 Rh 2.62, 4 Ni 2.62, 4 Zn 2.81
Zn1 0.2500 0.7500 0.5000  4 Ni 2.62, 4 Rh 2.62, 4 Ti 2.81
Ni1 0.0000 0.0000 0.0000  4 Zn 2.62, 4 Ti 2.62, 4 Rh 2.81
Rh1 0.5000 0.5000 0.0000  4 Ti 2.62, 4 Zn 2.62, 4 Ni 2.81


--- x ---
A relaxed TiZnNiRh crystal, computed with PBE.

Unit cell a=4.2545 b=4.2545 c=4.2545 alpha=60.00 beta=60.00 gamma=60.00
Last column: nearest neighbours and their distance in Å.
Positions (direct):
Ni1 0.5000 0.5000 0.5000  4 Zn 2.61, 4 Ti 2.61
Zn1 0.7500 0.7500 0.7500  4 Ni 2.61, 4 Rh 2.61
Rh1 0.0000 0.0000 0.0000  4 Zn 2.61, 4 Ti 2.61
Ti1 0.2500 0.2500 0.2500  4 Rh 2.61, 4 Ni 2.61


Which is most stable? The ranking, best first, is w, x.


--- w ---
A relaxed TlNiRh crystal, computed with PBE.

Unit cell a=3.0381 b=3.0381 c=6.2699 alpha=90.00 beta=90.00 gamma=120.00
Last column: nearest neighbours and their distance in Å.
Positions (direct):
Ni1 0.0000 0.0000 0.0154  3 Rh 2.55, 3 Tl 2.77
Rh1 0.6667 0.3333 0.3110  3 Ni 2.55
Tl1 0.3333 0.6667 0.6736  3 Ni 2.77, 3 Rh 2.87, 6 Tl 3.04


--- x ---
A relaxed TlNiRh crystal, computed with PBE.

Unit cell a=4.2240 b=4.2240 c=4.2240 alpha=60.00 beta=60.00 gamma=60.00
Last column: nearest neighbours and their distance in Å.
Positions (direct):
Ni1 0.2500 0.2500 0.2500  4 Rh 2.59, 4 Tl 2.59
Rh1 0.0000 0.0000 0.0000  4 Ni 2.59
Tl1 0.5000 0.5000 0.5000  4 Ni 2.59


--- y ---
A relaxed TlNiRh crystal, computed with PBE.

Unit cell a=5.2474 b=5.2474 c=5.2474 alpha=144.94 beta=144.92 gamma=50.44
Last column: nearest neighbours and their distance in Å.
Positions (direct):
Ni1 0.9932 0.9932 0.0000  4 Rh 2.64, 4 Tl 2.74
Rh1 0.3462 0.3462 0.0000  4 Ni 2.64, 4 Tl 2.85
Tl1 0.6606 0.6606 0.0000  4 Ni 2.74, 5 Rh 2.85-2.99


Which is most stable? The ranking, best first, is y, x, w.


--- w ---
A relaxed TmNiRh2 crystal, computed with PBE.

Unit cell a=5.2464 b=5.2464 c=8.7402 alpha=72.53 beta=72.53 gamma=60.00
Last column: nearest neighbours and their distance in Å.
Positions (direct):
Tm1 0.8594 0.8594 0.4218  9 Rh 2.99-3.10, 3 Ni 3.10, 3 Tm 3.29
Tm2 0.1406 0.1406 0.5782  9 Rh 2.99-3.10, 3 Ni 3.10, 3 Tm 3.29
Tm3 0.0000 0.0000 0.0000  6 Ni 3.03, 12 Rh 3.32
Ni1 0.6670 0.6670 0.9991  6 Rh 2.53-2.54
Ni2 0.3330 0.3330 0.0009  6 Rh 2.53-2.54
Ni3 0.5000 0.5000 0.5000  6 Rh 2.57
Rh1 0.4166 0.4166 0.2480  3 Ni 2.53-2.57, 4 Rh 2.61-2.63
Rh2 0.9188 0.4166 0.2480  3 Ni 2.53-2.57, 4 Rh 2.61-2.63
Rh3 0.4166 0.9188 0.2480  3 Ni 2.53-2.57, 4 Rh 2.61-2.63
Rh4 0.5834 0.5834 0.7520  3 Ni 2.53-2.57, 4 Rh 2.61-2.63
Rh5 0.5834 0.0812 0.7520  3 Ni 2.53-2.57, 4 Rh 2.61-2.63
Rh6 0.0812 0.5834 0.7520  3 Ni 2.53-2.57, 4 Rh 2.61-2.63


--- x ---
A relaxed TmNiRh2 crystal, computed with PBE.

Unit cell a=3.8483 b=4.0220 c=4.0220 alpha=90.00 beta=90.00 gamma=90.00
Last column: nearest neighbours and their distance in Å.
Positions (direct):
Ni1 0.5000 0.5000 0.5000  8 Rh 2.78, 4 Tm 2.84
Tm1 0.5000 0.0000 0.0000  8 Rh 2.78, 4 Ni 2.84
Rh1 0.0000 0.0000 0.5000  4 Tm 2.78, 4 Ni 2.78, 4 Rh 2.84
Rh2 0.0000 0.5000 0.0000  4 Ni 2.78, 4 Tm 2.78, 4 Rh 2.84


Which is most stable? The ranking, best first, is w, x.


--- w ---
A relaxed YTmNiRh crystal, computed with PBE.

Unit cell a=3.8161 b=4.0857 c=5.5897 alpha=90.00 beta=109.96 gamma=90.00
Last column: nearest neighbours and their distance in Å.
Positions (direct):
Y1 0.1430 0.0000 0.2859  4 Ni 2.88, 3 Rh 2.92-3.02
Tm1 0.8598 0.5000 0.7196  4 Rh 2.87, 3 Ni 2.97
Ni1 0.5767 0.5000 0.1535  2 Rh 2.62, 4 Y 2.88
Rh1 0.4205 0.0000 0.8410  2 Ni 2.62, 4 Tm 2.87, 1 Y 2.92


--- x ---
A relaxed YTmNiRh crystal, computed with PBE.

Unit cell a=4.7980 b=4.7980 c=4.7980 alpha=60.00 beta=60.00 gamma=60.00
Last column: nearest neighbours and their distance in Å.
Positions (direct):
Y1 0.7500 0.7500 0.7500  4 Ni 2.94, 4 Rh 2.94
Ni1 0.0000 0.0000 0.0000  4 Tm 2.94, 4 Y 2.94
Tm1 0.2500 0.2500 0.2500  4 Ni 2.94, 4 Rh 2.94
Rh1 0.5000 0.5000 0.5000  4 Y 2.94, 4 Tm 2.94


Which is most stable? The ranking, best first, is w, x.


--- w ---
A relaxed U2Ni9Rh crystal, computed with PBE.

Unit cell a=4.8542 b=4.8542 c=8.3749 alpha=73.15 beta=73.15 gamma=60.00
Last column: nearest neighbours and their distance in Å.
Positions (direct):
U1 0.8696 0.8696 0.3912  9 Ni 2.67-2.93
U2 0.1304 0.1304 0.6088  9 Ni 2.67-2.93
Ni1 0.6667 0.6667 0.0000  6 Ni 2.41-2.42
Ni2 0.3333 0.3333 0.0000  6 Ni 2.41-2.42
Ni3 0.5000 0.5000 0.5000  6 Ni 2.43
Ni4 0.4154 0.4154 0.2494  7 Ni 2.41-2.45, 2 U 2.67
Ni5 0.9197 0.4154 0.2494  7 Ni 2.41-2.45, 2 U 2.67
Ni6 0.4154 0.9197 0.2494  7 Ni 2.41-2.45, 2 U 2.67
Ni7 0.5846 0.5846 0.7506  7 Ni 2.41-2.45, 2 U 2.67
Ni8 0.5846 0.0803 0.7506  7 Ni 2.41-2.45, 2 U 2.67
Ni9 0.0803 0.5846 0.7506  7 Ni 2.41-2.45, 2 U 2.67
Rh1 0.0000 0.0000 0.0000  18 Ni 2.80-3.13, 2 U 3.09


--- x ---
A relaxed U2Ni9Rh crystal, computed with PBE.

Unit cell a=3.8226 b=3.8226 c=10.9208 alpha=90.00 beta=90.00 gamma=90.00
Last column: nearest neighbours and their distance in Å.
Positions (direct):
U1 0.0000 0.0000 0.3183  12 Ni 2.58-2.76
U2 0.0000 0.0000 0.6817  12 Ni 2.58-2.76
Ni1 0.5000 0.5000 0.0000  8 Ni 2.59, 4 Rh 2.70
Ni2 0.5000 0.5000 0.3320  8 Ni 2.65-2.68, 4 U 2.71
Ni3 0.5000 0.5000 0.6680  8 Ni 2.65-2.68, 4 U 2.71
Ni4 0.5000 0.0000 0.1598  2 U 2.58, 8 Ni 2.59-2.70, 2 Rh 2.59
Ni5 0.5000 0.0000 0.5000  8 Ni 2.65-2.70, 4 U 2.76
Ni6 0.5000 0.0000 0.8402  2 U 2.58, 8 Ni 2.59-2.70, 2 Rh 2.59
Ni7 0.0000 0.5000 0.1598  2 U 2.58, 8 Ni 2.59-2.70, 2 Rh 2.59
Ni8 0.0000 0.5000 0.5000  8 Ni 2.65-2.70, 4 U 2.76
Ni9 0.0000 0.5000 0.8402  2 U 2.58, 8 Ni 2.59-2.70, 2 Rh 2.59
Rh1 0.0000 0.0000 0.0000  12 Ni 2.59-2.70


Which is most stable? The ranking, best first, is w, x.


--- w ---
A relaxed VNiRh4 crystal, computed with PBE.

Unit cell a=4.2200 b=5.2652 c=8.7285 alpha=90.00 beta=103.99 gamma=90.00
Last column: nearest neighbours and their distance in Å.
Positions (direct):
V1 0.8466 0.8221 0.6932  10 Rh 2.58-2.76
V2 0.1534 0.3221 0.3068  10 Rh 2.58-2.76
Ni1 0.5721 0.8225 0.1443  5 Rh 2.34-2.57
Ni2 0.4279 0.3225 0.8557  5 Rh 2.34-2.57
Rh1 0.8518 0.3221 0.7036  2 Ni 2.47, 2 V 2.63, 4 Rh 2.64
Rh2 0.1482 0.8221 0.2964  2 Ni 2.47, 2 V 2.63, 4 Rh 2.64
Rh3 0.4339 0.8224 0.8678  1 Ni 2.34, 2 V 2.58
Rh4 0.5661 0.3224 0.1322  1 Ni 2.34, 2 V 2.58
Rh5 0.7028 0.5757 0.4056  1 Ni 2.57, 8 Rh 2.60-2.86, 3 V 2.63-2.76
Rh6 0.2972 0.0757 0.5944  1 Ni 2.57, 8 Rh 2.60-2.86, 3 V 2.63-2.76
Rh7 0.7028 0.0687 0.4055  1 Ni 2.56, 8 Rh 2.60-2.86, 3 V 2.63-2.76
Rh8 0.2972 0.5687 0.5945  1 Ni 2.56, 8 Rh 2.60-2.86, 3 V 2.63-2.76


--- x ---
A relaxed VNiRh4 crystal, computed with PBE.

Unit cell a=5.6787 b=5.7071 c=5.7072 alpha=90.00 beta=90.00 gamma=89.89
Last column: nearest neighbours and their distance in Å.
Positions (direct):
V1 0.0000 0.2500 0.7501  8 Rh 2.46
V2 0.0000 0.7500 0.2499  8 Rh 2.46
Ni1 0.5000 0.2500 0.2501  8 Rh 2.47
Ni2 0.5000 0.7500 0.7499  8 Rh 2.47
Rh1 0.2480 0.5002 0.9997  2 V 2.46, 2 Ni 2.47
Rh2 0.2478 0.5002 0.5003  2 V 2.46, 2 Ni 2.47
Rh3 0.7520 0.9998 0.9997  2 V 2.46, 2 Ni 2.47
Rh4 0.7522 0.4998 0.4997  2 V 2.46, 2 Ni 2.47
Rh5 0.7522 0.9998 0.5003  2 V 2.46, 2 Ni 2.47
Rh6 0.2480 0.0002 0.0003  2 V 2.46, 2 Ni 2.47
Rh7 0.2478 0.0002 0.4997  2 V 2.46, 2 Ni 2.47
Rh8 0.7520 0.4998 0.0003  2 V 2.46, 2 Ni 2.47


Which is most stable? The ranking, best first, is x, w.


--- w ---
A relaxed VNi3Rh crystal, computed with PBE.

Unit cell a=4.4623 b=3.6085 c=4.4443 alpha=66.06 beta=80.25 gamma=66.18
Last column: nearest neighbours and their distance in Å.
Positions (direct):
V1 0.7573 0.5647 0.3582  9 Ni 2.51-2.62, 3 Rh 2.54-2.60
Ni1 0.5542 0.9671 0.7569  6 Ni 2.51-2.65, 3 V 2.56-2.58, 3 Rh 2.57-2.59
Ni2 0.1747 0.7547 0.5610  6 Ni 2.51-2.65, 3 V 2.51-2.62, 3 Rh 2.58-2.59
Ni3 0.3633 0.3589 0.1660  6 Ni 2.53-2.58, 3 V 2.54-2.59, 3 Rh 2.55-2.59
Rh1 0.9575 0.1616 0.9650  3 V 2.54-2.60, 9 Ni 2.55-2.59


--- x ---
A relaxed VNi3Rh crystal, computed with PBE.

Unit cell a=4.1828 b=4.1828 c=4.1828 alpha=90.00 beta=90.00 gamma=90.00
Last column: nearest neighbours and their distance in Å.
Positions (direct):
Ni1 0.0000 0.5000 0.0000  2 V 2.09
Ni2 0.0000 0.0000 0.5000  2 V 2.09
Ni3 0.5000 0.0000 0.0000  2 V 2.09
Rh1 0.5000 0.5000 0.5000  12 Ni 2.96
V1 0.0000 0.0000 0.0000  6 Ni 2.09


--- y ---
A relaxed VNi3Rh crystal, computed with PBE.

Unit cell a=4.7554 b=4.7554 c=7.1450 alpha=70.56 beta=70.56 gamma=60.00
Last column: nearest neighbours and their distance in Å.
Positions (direct):
V1 0.3062 0.3062 0.0814  1 Rh 2.32, 9 Ni 2.43-2.55
V2 0.6938 0.6938 0.9186  1 Rh 2.32, 9 Ni 2.43-2.55
Ni1 0.2394 0.2394 0.7788  4 Ni 2.36-2.39, 3 V 2.43-2.55
Ni2 0.7424 0.2394 0.7788  4 Ni 2.36-2.39, 3 V 2.43-2.55
Ni3 0.7606 0.2576 0.2212  4 Ni 2.36-2.39, 3 V 2.43-2.55
Ni4 0.2576 0.7606 0.2212  4 Ni 2.36-2.39, 3 V 2.43-2.55
Ni5 0.7606 0.7606 0.2212  4 Ni 2.36-2.39, 3 V 2.43-2.55
Ni6 0.2394 0.7424 0.7788  4 Ni 2.36-2.39, 3 V 2.43-2.55
Rh1 0.1891 0.1891 0.4327  1 V 2.32
Rh2 0.8109 0.8109 0.5673  1 V 2.32


Which is most stable? The ranking, best first, is w, y, x.


--- w ---
A relaxed VNi4Rh crystal, computed with PBE.

Unit cell a=3.6359 b=5.1195 c=8.2034 alpha=90.00 beta=102.80 gamma=90.00
Last column: nearest neighbours and their distance in Å.
Positions (direct):
V1 0.2305 0.7500 0.4610  7 Ni 2.31-2.52
V2 0.7695 0.2500 0.5390  7 Ni 2.31-2.52
Ni1 0.5000 0.5000 0.0000  8 Ni 2.49-2.56, 4 Rh 2.65
Ni2 0.5000 0.0000 0.0000  8 Ni 2.49-2.56, 4 Rh 2.65
Ni3 0.6552 0.9756 0.3104  3 V 2.31-2.47, 4 Ni 2.31-2.52, 2 Rh 2.52
Ni4 0.3448 0.0244 0.6896  3 V 2.31-2.47, 4 Ni 2.31-2.52, 2 Rh 2.52
Ni5 0.3448 0.4756 0.6896  3 V 2.31-2.47, 4 Ni 2.31-2.52, 2 Rh 2.52
Ni6 0.6552 0.5244 0.3104  3 V 2.31-2.47, 4 Ni 2.31-2.52, 2 Rh 2.52
Ni7 0.0730 0.7500 0.1459  8 Ni 2.51-2.52, 1 V 2.52, 3 Rh 2.57-2.61
Ni8 0.9270 0.2500 0.8541  8 Ni 2.51-2.52, 1 V 2.52, 3 Rh 2.57-2.61
Rh1 0.0904 0.2500 0.1807  11 Ni 2.52-2.65
Rh2 0.9096 0.7500 0.8193  11 Ni 2.52-2.65


--- x ---
A relaxed VNi4Rh crystal, computed with PBE.

Unit cell a=8.2268 b=4.8606 c=4.8605 alpha=119.07 beta=63.96 gamma=116.04
Last column: nearest neighbours and their distance in Å.
Positions (direct):
V1 0.5000 0.7500 0.7500  8 Ni 2.41-2.57, 2 Rh 2.46
V2 0.0000 0.5000 0.5000  8 Ni 2.41-2.57, 2 Rh 2.46
Ni1 0.3176 0.4147 0.0834  2 V 2.41-2.57, 7 Ni 2.46-2.70, 2 Rh 2.51-2.56
Ni2 0.6824 0.5990 0.9029  2 V 2.41-2.57, 7 Ni 2.46-2.70, 2 Rh 2.51-2.56
Ni3 0.1824 0.3471 0.6510  2 V 2.41-2.57, 7 Ni 2.46-2.70, 2 Rh 2.51-2.56
Ni4 0.1824 0.8353 0.1666  2 V 2.41-2.57, 7 Ni 2.46-2.70, 2 Rh 2.51-2.56
Ni5 0.8176 0.1666 0.8354  2 V 2.41-2.57, 7 Ni 2.46-2.70, 2 Rh 2.51-2.56
Ni6 0.3176 0.9029 0.5990  2 V 2.41-2.57, 7 Ni 2.46-2.70, 2 Rh 2.51-2.56
Ni7 0.8176 0.6510 0.3471  2 V 2.41-2.57, 7 Ni 2.46-2.70, 2 Rh 2.51-2.56
Ni8 0.6824 0.0834 0.4146  2 V 2.41-2.57, 7 Ni 2.46-2.70, 2 Rh 2.51-2.56
Rh1 0.0000 0.0000 0.0000  2 V 2.46, 8 Ni 2.51-2.56
Rh2 0.5000 0.2500 0.2500  2 V 2.46, 8 Ni 2.51-2.56


Which is most stable? The ranking, best first, is x, w.